Density functional theory data (meta-GGA SCAN) for a PBEsol-optimized structure of K2TcOs.

The structure belongs to space group R-3m (No. 166, hexagonal axes); the cell edges are 2.7431, 2.7431 and 34.8495 Å and the angles 90.00°, 90.00° and 120.00°. Symmetry generates all atoms from K at (0.0000, 0.0000, 0.2490), Tc at (0.0000, 0.0000, 0.0000) and Os at (0.0000, 0.0000, 0.5000).

As for the density of states at the Fermi level: 0.722 states/eV/atom. Its excess energy over the best structure of this formula in the dataset is 0.0000 eV per atom.